{
  "formula": "MnSiIr2",
  "functional": "PBE-GGA",
  "state": "optimized geometry",
  "energy_ev_per_cell": -33.38,
  "space_group": "P4mm (99)",
  "e_form_raw_kj_per_mol_atoms": -26,
  "cell": [[2.792, 0.000, 0.000], [0.000, 2.792, 0.000], [0.000, 0.000, 6.623]],
  "species": ["Mn", "Si", "Ir", "Ir"],
  "fractional_positions": [[0.000, 0.000, 0.000], [0.500, 0.500, 0.214], [0.000, 0.000, 0.436], [0.500, 0.500, 0.752]]
}

{
  "formula": "MnSiIr2",
  "functional": "PBE-GGA",
  "state": "optimized geometry",
  "energy_ev_per_cell": -33.46,
  "space_group": "P2/m (10)",
  "e_form_raw_kj_per_mol_atoms": -28,
  "cell": [[2.836, 0.000, 0.000], [0.000, 3.813, 0.000], [-1.309, 0.000, 5.221]],
  "species": ["Mn", "Si", "Ir", "Ir"],
  "fractional_positions": [[0.000, 0.000, 0.000], [0.000, 0.000, 0.500], [0.371, 0.500, 0.739], [0.629, 0.500, 0.261]]
}

{
  "formula": "MnSiIr2",
  "functional": "PBE-GGA",
  "state": "optimized geometry",
  "energy_ev_per_cell": -66.65,
  "space_group": "Immm (71)",
  "e_form_raw_kj_per_mol_atoms": -24,
  "cell": [[2.829, 0.000, 0.000], [0.000, 4.484, 0.000], [0.000, 0.000, 8.770]],
  "species": ["Mn", "Mn", "Si", "Si", "Ir", "Ir", "Ir", "Ir"],
  "fractional_positions": [[0.000, 0.000, 0.000], [0.500, 0.500, 0.500], [0.000, 0.000, 0.500], [0.500, 0.500, 0.000], [0.000, 0.500, 0.220], [0.000, 0.500, 0.780], [0.500, 0.000, 0.280], [0.500, 0.000, 0.720]]
}

{
  "formula": "MnSi2Ir",
  "functional": "PBE-GGA",
  "state": "optimized geometry",
  "energy_ev_per_cell": -60.59,
  "space_group": "Imm2 (44)",
  "e_form_raw_kj_per_mol_atoms": -34,
  "cell": [[2.854, 0.000, 0.000], [0.000, 3.512, 0.000], [0.000, 0.000, 10.709]],
  "species": ["Mn", "Mn", "Si", "Si", "Si", "Si", "Ir", "Ir"],
  "fractional_positions": [[0.000, 0.000, 0.000], [0.500, 0.500, 0.500], [0.000, 0.000, 0.570], [0.000, 0.500, 0.328], [0.500, 0.000, 0.828], [0.500, 0.500, 0.070], [0.000, 0.500, 0.737], [0.500, 0.000, 0.237]]
}